First-principles (GGA-PBE) data for an optimized crystal structure of ReAsPbO, as listed in OQMD via LeMat-Bulk.

Values from the calculation:
Raw total energy (eV per atom): -6.735
Energy above the lowest structure with this stoichiometry (eV/atom): 0.073

```
ReAsPbO
1.0
3.266 0.000 0.000
0.000 6.909 0.000
0.000 0.000 7.528
Re As Pb O
2 2 2 2
Cartesian
0.000 0.156 0.000 Re
0.000 6.753 3.764 Re
1.633 1.980 7.139 As
1.633 4.929 3.375 As
1.633 2.235 4.307 Pb
1.633 4.674 0.543 Pb
0.000 0.215 1.888 O
0.000 6.694 5.652 O
```



First-principles (GGA-PBE) data for an optimized crystal structure of ReAsPbO, as listed in OQMD via LeMat-Bulk.

Values from the calculation:
Raw total energy (eV per atom): -6.181
Energy above the lowest structure with this stoichiometry (eV/atom): 0.627

```
ReAsPbO
1.0
4.209 0.000 0.000
0.000 4.209 0.000
0.000 0.000 9.987
Re As Pb O
2 2 2 2
Cartesian
1.052 1.052 0.393 Re
3.157 3.157 9.594 Re
1.052 1.052 2.659 As
3.157 3.157 7.328 As
1.052 3.157 4.994 Pb
3.157 1.052 4.994 Pb
1.052 3.157 0.000 O
3.157 1.052 0.000 O
```



First-principles (GGA-PBE) data for an optimized crystal structure of ReAsPbO, as listed in OQMD via LeMat-Bulk.

Values from the calculation:
Raw total energy (eV per atom): -6.808
Energy above the lowest structure with this stoichiometry (eV/atom): 0.000

```
ReAsPbO
1.0
3.817 0.000 0.000
0.000 3.817 0.000
0.000 0.000 10.893
Re As Pb O
2 2 2 2
Cartesian
0.954 2.863 0.000 Re
2.863 0.954 0.000 Re
0.954 0.954 1.750 As
2.863 2.863 9.142 As
0.954 0.954 6.719 Pb
2.863 2.863 4.174 Pb
0.954 2.863 5.446 O
2.863 0.954 5.446 O
```



First-principles (GGA-PBE) data for an optimized crystal structure of ReAsPbO, as listed in OQMD via LeMat-Bulk.

Values from the calculation:
Raw total energy (eV per atom): -6.580
Energy above the lowest structure with this stoichiometry (eV/atom): 0.228

```
ReAsPbO
1.0
3.798 0.000 0.000
0.000 5.456 0.000
0.000 0.000 7.670
Re As Pb O
2 2 2 2
Cartesian
0.000 1.228 0.000 Re
0.000 4.228 3.835 Re
0.000 0.780 2.415 As
0.000 4.675 6.250 As
1.899 1.600 4.799 Pb
1.899 3.856 0.964 Pb
1.899 1.369 7.627 O
1.899 4.086 3.792 O
```



First-principles (GGA-PBE) data for an optimized crystal structure of Sr2Zn2As2PbO2, as listed in OQMD via LeMat-Bulk.

Values from the calculation:
Raw total energy (eV per atom): -4.238

```
Sr2Zn2As2PbO2
1.0
-2.272 2.272 8.894
2.272 -2.272 8.894
2.272 2.272 -8.894
Sr Zn As Pb O
2 2 2 1 2
Cartesian
0.000 0.000 1.695 Sr
0.000 0.000 16.093 Sr
2.272 0.000 4.447 Zn
0.000 2.272 4.447 Zn
0.000 0.000 5.753 As
0.000 0.000 12.036 As
0.000 0.000 8.894 Pb
2.272 0.000 0.000 O
0.000 2.272 0.000 O
```



First-principles (GGA-PBE) data for an optimized crystal structure of TaAsPbO, as listed in OQMD via LeMat-Bulk.

Values from the calculation:
Raw total energy (eV per atom): -6.848
Energy above the lowest structure with this stoichiometry (eV/atom): 0.304

```
TaAsPbO
1.0
4.275 0.000 0.000
0.000 4.275 0.000
0.000 0.000 9.997
Ta As Pb O
2 2 2 2
Cartesian
1.069 1.069 0.227 Ta
3.206 3.206 9.770 Ta
1.069 1.069 2.592 As
3.206 3.206 7.405 As
1.069 3.206 4.998 Pb
3.206 1.069 4.998 Pb
1.069 3.206 0.000 O
3.206 1.069 0.000 O
```



First-principles (GGA-PBE) data for an optimized crystal structure of TaAsPbO, as listed in OQMD via LeMat-Bulk.

Values from the calculation:
Raw total energy (eV per atom): -6.782
Energy above the lowest structure with this stoichiometry (eV/atom): 0.371

```
TaAsPbO
1.0
4.127 0.000 0.000
0.000 4.127 0.000
0.000 0.000 10.432
Ta As Pb O
2 2 2 2
Cartesian
1.032 3.095 0.000 Ta
3.095 1.032 0.000 Ta
1.032 1.032 1.589 As
3.095 3.095 8.843 As
1.032 1.032 6.375 Pb
3.095 3.095 4.057 Pb
1.032 3.095 5.216 O
3.095 1.032 5.216 O
```



First-principles (GGA-PBE) data for an optimized crystal structure of TaAsPbO, as listed in OQMD via LeMat-Bulk.

Values from the calculation:
Raw total energy (eV per atom): -6.769
Energy above the lowest structure with this stoichiometry (eV/atom): 0.383

```
TaAsPbO
1.0
4.170 0.000 0.000
0.000 4.170 0.000
0.000 0.000 9.921
Ta As Pb O
2 2 2 2
Cartesian
1.042 3.127 0.000 Ta
3.127 1.042 0.000 Ta
1.042 1.042 1.563 As
3.127 3.127 8.358 As
1.042 1.042 6.092 Pb
3.127 3.127 3.828 Pb
1.042 3.127 4.960 O
3.127 1.042 4.960 O
```



Question: Which value of raw total energy does entry 1 give?
Answer: -6.735 eV per atom



Question: Which value of raw total energy does entry 2 give?
Answer: -6.181 eV per atom